(1)
Density functional theory data (PBE) for CoAgSn2Te after structural relaxation.

Properties
- DOS at the Fermi energy: 5.3 states/eV/f.u.
- Total magnetic moment: 0.184 μB per atom
- Space group: P4/mmm

```
CoAgSn2Te
1.0
5.925 0.000 0.000
0.000 4.574 0.000
0.000 0.000 5.925
Co Sn Te Ag
1 2 1 1
Direct
0.000 0.500 0.000 Co
0.000 0.000 0.500 Sn
0.500 0.000 0.000 Sn
0.000 0.000 0.000 Te
0.500 0.500 0.500 Ag
```

***

(2)
Density functional theory data (PBE) for SbRhCl3 after structural relaxation.

Properties
- Energy above the lowest structure with this stoichiometry: 0.00 eV/f.u.
- DOS at the Fermi energy: 2.9 states/eV/f.u.
- Total magnetic moment: 0.000 μB per atom
- Space group: Pm-3m

```
SbRhCl3
1.0
-3.532 1.397 -2.951
2.482 -1.677 -3.764
-2.122 -4.287 0.511
Sb Rh Cl
1 1 3
Direct
0.500 0.500 0.500 Sb
0.000 0.000 0.000 Rh
0.500 0.000 0.000 Cl
0.000 0.000 0.500 Cl
0.000 0.500 0.000 Cl
```

***

(3)
Density functional theory data (PBE) for LaU6S8 after structural relaxation.

Properties
- DOS at the Fermi energy: 21.3 states/eV/f.u.
- Total magnetic moment: 0.181 μB per atom
- Space group: R-3

```
LaU6S8
1.0
-3.573 6.081 -1.179
-1.852 0.507 6.888
5.776 3.943 1.492
S U La
8 6 1
Direct
0.739 0.339 0.071 S
0.071 0.739 0.339 S
0.929 0.261 0.661 S
0.287 0.287 0.287 S
0.713 0.713 0.713 S
0.261 0.661 0.929 S
0.339 0.071 0.739 S
0.661 0.929 0.261 S
0.604 0.219 0.487 U
0.513 0.396 0.781 U
0.396 0.781 0.513 U
0.781 0.513 0.396 U
0.219 0.487 0.604 U
0.487 0.604 0.219 U
0.000 0.000 0.000 La
```

***

Table of formation energy from raw total energies (eV/f.u.), in record order: 4.34, 0.09, -15.64